(1)
Density functional theory data (PBE) for a relaxed structure of TbPrSmEr3.

Symmetry: No. 63
Formation energy from the elements in eV per atom: 0.116

Cell: 5.8864 6.3284 11.7809 Å, 90.00 90.00 117.72°
Fractional positions:
1 Pr 0.0000 0.0000 0.5000
2 Pr 0.0000 0.0000 0.0000
3 Er 0.1714 0.3428 0.7500
4 Er 0.8286 0.6572 0.2500
5 Er 0.6716 0.3431 0.4972
6 Er 0.3284 0.6569 0.5028
7 Er 0.6716 0.3431 0.0028
8 Er 0.3284 0.6569 0.9972
9 Sm 0.5032 0.0064 0.7500
10 Sm 0.4968 0.9936 0.2500
11 Tb 0.8252 0.6504 0.7500
12 Tb 0.1748 0.3496 0.2500

(2)
Density functional theory data (PBE) for a relaxed structure of SrSb3Au3.

ΔE to the lowest computed polymorph in meV per atom: 151
Symmetry: No. 223
Formation energy without anion corrections in eV/atom: -0.212

Cell: 7.6102 7.6102 7.6102 Å, 90.00 90.00 90.00°
Fractional positions:
1 Sr 0.0000 0.0000 0.0000
2 Sr 0.5000 0.5000 0.5000
3 Sb 0.7500 0.0000 0.5000
4 Sb 0.5000 0.2500 0.0000
5 Sb 0.2500 0.0000 0.5000
6 Sb 0.5000 0.7500 0.0000
7 Sb 0.0000 0.5000 0.2500
8 Sb 0.0000 0.5000 0.7500
9 Au 0.2500 0.5000 0.0000
10 Au 0.5000 0.0000 0.7500
11 Au 0.0000 0.2500 0.5000
12 Au 0.0000 0.7500 0.5000
13 Au 0.7500 0.5000 0.0000
14 Au 0.5000 0.0000 0.2500

(3)
Density functional theory data (PBE) for a relaxed structure of AlP2SCl.

ΔE to the lowest computed polymorph in meV per atom: 686
Symmetry: No. 123
Formation energy without anion corrections in eV/atom: 1.235

Cell: 4.5768 4.5768 4.8460 Å, 90.00 90.00 90.00°
Fractional positions:
1 P 0.0000 0.5000 0.0000
2 P 0.5000 0.0000 0.0000
3 S 0.0000 0.0000 0.5000
4 Al 0.5000 0.5000 0.5000
5 Cl 0.0000 0.0000 0.0000

(4)
Density functional theory data (PBE) for a relaxed structure of Rb2Mg5Bi3H2.

Symmetry: No. 139

Cell: 4.6922 4.6922 14.7183 Å, 99.17 99.17 90.00°
Fractional positions:
1 Mg 0.0841 0.5841 0.1682
2 Mg 0.9159 0.4159 0.8318
3 Mg 0.5000 0.5000 0.0000
4 Mg 0.4159 0.9159 0.8318
5 Mg 0.5841 0.0841 0.1682
6 H 0.5707 0.5707 0.1415
7 H 0.4293 0.4293 0.8585
8 Bi 0.8506 0.8506 0.7012
9 Bi 0.0000 0.0000 0.0000
10 Bi 0.1494 0.1494 0.2988
11 Rb 0.2988 0.2988 0.5976
12 Rb 0.7012 0.7012 0.4024

(5)
Density functional theory data (PBE) for a relaxed structure of CeZrZn4.

ΔE to the lowest computed polymorph in meV per atom: 6
Symmetry: No. 71
Formation energy from the elements in eV per atom: -0.244

Cell: 4.3378 5.6136 5.6136 Å, 87.35 67.27 67.27°
Site moments in Bohr magnetons follow the coordinates.
Fractional positions:
1 Zn 0.2181 0.4484 0.1153  0.00
2 Zn 0.7818 0.5516 0.8847  0.00
3 Zn 0.2181 0.1153 0.4484  0.00
4 Zn 0.7818 0.8847 0.5516  0.00
5 Zr 0.5000 0.5000 0.5000  0.05
6 Ce 0.0000 0.0000 0.0000  0.46

(6)
Density functional theory data (PBE) for a relaxed structure of Rb3H2I3.

ΔE to the lowest computed polymorph in meV per atom: 0
Symmetry: No. 2

Cell: 4.8163 6.8684 10.6540 Å, 69.66 73.51 75.03°
Fractional positions:
1 I 0.9185 0.3843 0.3090
2 I 0.0000 0.0000 0.0000
3 I 0.0815 0.6157 0.6910
4 Rb 0.7163 0.1788 0.6863
5 Rb 0.5000 0.5000 0.0000
6 Rb 0.2837 0.8212 0.3137
7 H 0.5229 0.0495 0.4728
8 H 0.4771 0.9505 0.5272

(7)
Density functional theory data (PBE) for a relaxed structure of USbAs.

ΔE to the lowest computed polymorph in meV per atom: 235
Symmetry: No. 107
Formation energy without anion corrections in eV/atom: -0.274

Cell: 3.8641 3.8641 5.6673 Å, 109.93 109.93 90.00°
Site moments in Bohr magnetons follow the coordinates.
Fractional positions:
1 U 0.6887 0.6887 0.3774  2.04
2 Sb 0.0147 0.0147 0.0293  -0.02
3 As 0.2967 0.2967 0.5933  -0.03

(8)
Density functional theory data (PBE) for a relaxed structure of InHg6Pb2.

ΔE to the lowest computed polymorph in meV per atom: 0
Symmetry: No. 187
Formation energy from the elements in eV per atom: 0.039

Cell: 3.3837 3.3837 25.4393 Å, 90.00 90.00 120.00°
Fractional positions:
1 Hg 0.3333 0.6667 0.2146
2 Hg 0.6667 0.3333 0.1093
3 Hg 0.6667 0.3333 0.8907
4 Hg 0.3333 0.6667 0.5584
5 Hg 0.3333 0.6667 0.7854
6 Hg 0.3333 0.6667 0.4416
7 Pb 0.6667 0.3333 0.3298
8 Pb 0.6667 0.3333 0.6702
9 In 0.3333 0.6667 0.0000

no.,M_tot (μB/cell),E_tot (eV/atom)
1,0.00,-4.5207
2,0.00,-3.6234
3,0.00,-2.8719
4,0.00,-2.5690
5,0.66,-3.5070
6,0.00,-2.8591
7,2.23,-6.9604
8,0.00,-1.2906